A plane-wave DFT calculation with GGA-PBE was carried out for a relaxed structure of HoTm2ScO6.

Lattice parameters (Å, degrees): 5.640 5.640 5.922 61.56 61.56 60.00
Sites, in units of the cell vectors:
Sc 0.312 0.312 0.064
Tm 0.023 0.023 0.931
Tm 0.526 0.526 0.423
O 0.414 0.702 0.757
O 0.702 0.127 0.757
O 0.935 0.606 0.249
O 0.606 0.210 0.249
O 0.127 0.414 0.757
O 0.210 0.935 0.249
Ho 0.807 0.807 0.580

Output
As for the formation energy without anion corrections: -3.572 eV per atom. Its electronic total energy is -85.326 eV per cell. As for the symmetry: R3 (146). As for the crystal system: trigonal.